Version P
# Ba2ZnCd | Alexandria via LeMat-Bulk | PBE | optimized geometry
data_Ba2ZnCd
_symmetry_space_group_name_H-M 'P 1'
_symmetry_Int_Tables_number 1
_cell_length_a 6.265
_cell_length_b 6.265
_cell_length_c 6.265
_cell_angle_alpha 131.01
_cell_angle_beta 131.01
_cell_angle_gamma 71.79
loop_
_symmetry_equiv_pos_as_xyz
'x,y,z'
loop_
_atom_site_label
_atom_site_type_symbol
_atom_site_fract_x
_atom_site_fract_y
_atom_site_fract_z
_atom_site_occupancy
Ba1 Ba 0.000 0.000 0.000 1
Ba2 Ba 0.250 0.750 0.500 1
Cd1 Cd 0.500 0.500 0.000 1
Zn1 Zn 0.750 0.250 0.500 1
# Calculated volume ... 34.23 Å³/atom
# Spin magnetization ... 0.00 μB/f.u.

=====

Version Q
# Ba2ZnCd | Alexandria via LeMat-Bulk | PBE | optimized geometry
data_Ba2ZnCd
_symmetry_space_group_name_H-M 'P 1'
_symmetry_Int_Tables_number 1
_cell_length_a 5.932
_cell_length_b 5.932
_cell_length_c 5.932
_cell_angle_alpha 60.00
_cell_angle_beta 60.00
_cell_angle_gamma 60.00
loop_
_symmetry_equiv_pos_as_xyz
'x,y,z'
loop_
_atom_site_label
_atom_site_type_symbol
_atom_site_fract_x
_atom_site_fract_y
_atom_site_fract_z
_atom_site_occupancy
Zn1 Zn 0.000 0.000 0.000 1
Ba1 Ba 0.250 0.250 0.250 1
Ba2 Ba 0.750 0.750 0.750 1
Cd1 Cd 0.500 0.500 0.500 1
# Calculated volume ... 36.91 Å³/atom
# Spin magnetization ... 0.00 μB/f.u.

=====

Version R
# Ba2ZnCd | Alexandria via LeMat-Bulk | PBE | optimized geometry
data_Ba2ZnCd
_symmetry_space_group_name_H-M 'P 1'
_symmetry_Int_Tables_number 1
_cell_length_a 9.938
_cell_length_b 9.938
_cell_length_c 9.938
_cell_angle_alpha 26.32
_cell_angle_beta 26.32
_cell_angle_gamma 26.32
loop_
_symmetry_equiv_pos_as_xyz
'x,y,z'
loop_
_atom_site_label
_atom_site_type_symbol
_atom_site_fract_x
_atom_site_fract_y
_atom_site_fract_z
_atom_site_occupancy
Ba1 Ba 0.004 0.004 0.004 1
Ba2 Ba 0.496 0.496 0.496 1
Cd1 Cd 0.250 0.250 0.250 1
Zn1 Zn 0.750 0.750 0.750 1
# Calculated volume ... 42.52 Å³/atom
# Spin magnetization ... 0.00 μB/f.u.

=====

version Q has the most favorable energy; the next structure is 168 meV/atom above.

=====

Version P
# BaZn3Cd | Alexandria via LeMat-Bulk | PBE | optimized geometry
data_BaZn3Cd
_symmetry_space_group_name_H-M 'P 1'
_symmetry_Int_Tables_number 1
_cell_length_a 6.325
_cell_length_b 6.733
_cell_length_c 6.733
_cell_angle_alpha 120.00
_cell_angle_beta 90.00
_cell_angle_gamma 90.00
loop_
_symmetry_equiv_pos_as_xyz
'x,y,z'
loop_
_atom_site_label
_atom_site_type_symbol
_atom_site_fract_x
_atom_site_fract_y
_atom_site_fract_z
_atom_site_occupancy
Ba1 Ba 0.750 0.667 0.333 1
Ba2 Ba 0.250 0.333 0.667 1
Zn1 Zn 0.750 0.598 0.799 1
Zn2 Zn 0.250 0.799 0.598 1
Zn3 Zn 0.250 0.402 0.201 1
Zn4 Zn 0.750 0.201 0.402 1
Zn5 Zn 0.250 0.799 0.201 1
Zn6 Zn 0.750 0.201 0.799 1
Cd1 Cd 0.000 0.000 0.000 1
Cd2 Cd 0.500 0.000 0.000 1
# Calculated volume ... 24.83 Å³/atom
# Spin magnetization ... 0.00 μB/f.u.

=====

Version Q
# BaZn3Cd | Alexandria via LeMat-Bulk | PBE | optimized geometry
data_BaZn3Cd
_symmetry_space_group_name_H-M 'P 1'
_symmetry_Int_Tables_number 1
_cell_length_a 6.439
_cell_length_b 6.439
_cell_length_c 6.439
_cell_angle_alpha 90.00
_cell_angle_beta 90.00
_cell_angle_gamma 90.00
loop_
_symmetry_equiv_pos_as_xyz
'x,y,z'
loop_
_atom_site_label
_atom_site_type_symbol
_atom_site_fract_x
_atom_site_fract_y
_atom_site_fract_z
_atom_site_occupancy
Zn1 Zn 0.000 0.500 0.000 1
Zn2 Zn 0.000 0.000 0.500 1
Zn3 Zn 0.500 0.000 0.000 1
Ba1 Ba 0.000 0.000 0.000 1
Cd1 Cd 0.500 0.500 0.500 1
# Calculated volume ... 53.38 Å³/atom
# Spin magnetization ... 0.00 μB/f.u.

=====

Version R
# BaZn3Cd | Alexandria via LeMat-Bulk | PBE | optimized geometry
data_BaZn3Cd
_symmetry_space_group_name_H-M 'P 1'
_symmetry_Int_Tables_number 1
_cell_length_a 5.171
_cell_length_b 5.171
_cell_length_c 5.171
_cell_angle_alpha 90.00
_cell_angle_beta 90.00
_cell_angle_gamma 90.00
loop_
_symmetry_equiv_pos_as_xyz
'x,y,z'
loop_
_atom_site_label
_atom_site_type_symbol
_atom_site_fract_x
_atom_site_fract_y
_atom_site_fract_z
_atom_site_occupancy
Zn1 Zn 0.000 0.500 0.000 1
Zn2 Zn 0.000 0.000 0.500 1
Zn3 Zn 0.500 0.000 0.000 1
Ba1 Ba 0.500 0.500 0.500 1
Cd1 Cd 0.000 0.000 0.000 1
# Calculated volume ... 27.65 Å³/atom
# Spin magnetization ... 0.00 μB/f.u.

=====

version P has the most favorable energy; the next structure is 168 meV/atom above.

=====

Version P
# BaZnCd3 | Alexandria via LeMat-Bulk | PBE | optimized geometry
data_BaZnCd3
_symmetry_space_group_name_H-M 'P 1'
_symmetry_Int_Tables_number 1
_cell_length_a 4.695
_cell_length_b 4.695
_cell_length_c 7.060
_cell_angle_alpha 70.67
_cell_angle_beta 70.67
_cell_angle_gamma 90.18
loop_
_symmetry_equiv_pos_as_xyz
'x,y,z'
loop_
_atom_site_label
_atom_site_type_symbol
_atom_site_fract_x
_atom_site_fract_y
_atom_site_fract_z
_atom_site_occupancy
Ba1 Ba 0.406 0.210 0.893 1
Zn1 Zn 0.017 0.821 0.672 1
Cd1 Cd 0.646 0.949 0.414 1
Cd2 Cd 0.145 0.449 0.414 1
Cd3 Cd 0.793 0.597 0.118 1
# Calculated volume ... 27.49 Å³/atom
# Spin magnetization ... 0.00 μB/f.u.

=====

Version Q
# BaZnCd3 | Alexandria via LeMat-Bulk | PBE | optimized geometry
data_BaZnCd3
_symmetry_space_group_name_H-M 'P 1'
_symmetry_Int_Tables_number 1
_cell_length_a 6.932
_cell_length_b 6.932
_cell_length_c 6.932
_cell_angle_alpha 90.00
_cell_angle_beta 90.00
_cell_angle_gamma 90.00
loop_
_symmetry_equiv_pos_as_xyz
'x,y,z'
loop_
_atom_site_label
_atom_site_type_symbol
_atom_site_fract_x
_atom_site_fract_y
_atom_site_fract_z
_atom_site_occupancy
Zn1 Zn 0.500 0.500 0.500 1
Ba1 Ba 0.000 0.000 0.000 1
Cd1 Cd 0.000 0.500 0.000 1
Cd2 Cd 0.000 0.000 0.500 1
Cd3 Cd 0.500 0.000 0.000 1
# Calculated volume ... 66.62 Å³/atom
# Spin magnetization ... 0.00 μB/f.u.

=====

version P has the most favorable energy; the next structure is 888 meV/atom above.

=====

Version P
# Ba2Zn2Cd3 | Alexandria via LeMat-Bulk | PBE | optimized geometry
data_Ba2Zn2Cd3
_symmetry_space_group_name_H-M 'P 1'
_symmetry_Int_Tables_number 1
_cell_length_a 4.612
_cell_length_b 6.495
_cell_length_c 8.296
_cell_angle_alpha 117.44
_cell_angle_beta 90.00
_cell_angle_gamma 110.79
loop_
_symmetry_equiv_pos_as_xyz
'x,y,z'
loop_
_atom_site_label
_atom_site_type_symbol
_atom_site_fract_x
_atom_site_fract_y
_atom_site_fract_z
_atom_site_occupancy
Ba1 Ba 0.867 0.734 0.234 1
Ba2 Ba 0.133 0.266 0.766 1
Zn1 Zn 0.860 0.719 0.801 1
Zn2 Zn 0.140 0.281 0.199 1
Cd1 Cd 0.500 0.000 0.000 1
Cd2 Cd 0.643 0.286 0.433 1
Cd3 Cd 0.357 0.714 0.567 1
# Calculated volume ... 28.88 Å³/atom
# Spin magnetization ... 0.00 μB/f.u.

=====

Version Q
# Ba2Zn2Cd3 | Alexandria via LeMat-Bulk | PBE | optimized geometry
data_Ba2Zn2Cd3
_symmetry_space_group_name_H-M 'P 1'
_symmetry_Int_Tables_number 1
_cell_length_a 4.094
_cell_length_b 4.428
_cell_length_c 12.114
_cell_angle_alpha 100.53
_cell_angle_beta 90.00
_cell_angle_gamma 90.00
loop_
_symmetry_equiv_pos_as_xyz
'x,y,z'
loop_
_atom_site_label
_atom_site_type_symbol
_atom_site_fract_x
_atom_site_fract_y
_atom_site_fract_z
_atom_site_occupancy
Ba1 Ba 0.000 0.847 0.693 1
Ba2 Ba 0.000 0.153 0.307 1
Zn1 Zn 0.500 0.726 0.451 1
Zn2 Zn 0.500 0.274 0.549 1
Cd1 Cd 0.500 0.563 0.125 1
Cd2 Cd 0.500 0.437 0.875 1
Cd3 Cd 0.000 0.000 0.000 1
# Calculated volume ... 30.84 Å³/atom
# Spin magnetization ... 0.00 μB/f.u.

=====

version P has the most favorable energy; the next structure is 83 meV/atom above.

=====

Version P
# Ba4ZnCd2 | Alexandria via LeMat-Bulk | PBE | optimized geometry
data_Ba4ZnCd2
_symmetry_space_group_name_H-M 'P 1'
_symmetry_Int_Tables_number 1
_cell_length_a 7.279
_cell_length_b 7.279
_cell_length_c 7.279
_cell_angle_alpha 109.66
_cell_angle_beta 109.38
_cell_angle_gamma 109.38
loop_
_symmetry_equiv_pos_as_xyz
'x,y,z'
loop_
_atom_site_label
_atom_site_type_symbol
_atom_site_fract_x
_atom_site_fract_y
_atom_site_fract_z
_atom_site_occupancy
Ba1 Ba 0.500 0.000 0.000 1
Ba2 Ba 0.500 0.500 0.500 1
Ba3 Ba 0.000 0.000 0.500 1
Ba4 Ba 0.000 0.500 0.000 1
Zn1 Zn 0.000 0.000 0.000 1
Cd1 Cd 0.500 0.500 0.000 1
Cd2 Cd 0.500 0.000 0.500 1
# Calculated volume ... 42.41 Å³/atom
# Spin magnetization ... 0.00 μB/f.u.

=====

Version Q
# Ba4ZnCd2 | Alexandria via LeMat-Bulk | PBE | optimized geometry
data_Ba4ZnCd2
_symmetry_space_group_name_H-M 'P 1'
_symmetry_Int_Tables_number 1
_cell_length_a 6.415
_cell_length_b 6.415
_cell_length_c 9.590
_cell_angle_alpha 109.54
_cell_angle_beta 109.54
_cell_angle_gamma 90.00
loop_
_symmetry_equiv_pos_as_xyz
'x,y,z'
loop_
_atom_site_label
_atom_site_type_symbol
_atom_site_fract_x
_atom_site_fract_y
_atom_site_fract_z
_atom_site_occupancy
Zn1 Zn 0.000 0.000 0.000 1
Ba1 Ba 0.803 0.803 0.606 1
Ba2 Ba 0.197 0.197 0.394 1
Ba3 Ba 0.000 0.500 0.000 1
Ba4 Ba 0.500 0.000 0.000 1
Cd1 Cd 0.596 0.596 0.193 1
Cd2 Cd 0.404 0.404 0.807 1
# Calculated volume ... 49.68 Å³/atom
# Spin magnetization ... 1.04 μB/f.u.

=====

version P has the most favorable energy; the next structure is 151 meV/atom above.

=====

Version P
# Ba4Zn3Cd | Alexandria via LeMat-Bulk | PBE | optimized geometry
data_Ba4Zn3Cd
_symmetry_space_group_name_H-M 'P 1'
_symmetry_Int_Tables_number 1
_cell_length_a 4.154
_cell_length_b 5.873
_cell_length_c 11.734
_cell_angle_alpha 90.00
_cell_angle_beta 90.00
_cell_angle_gamma 90.00
loop_
_symmetry_equiv_pos_as_xyz
'x,y,z'
loop_
_atom_site_label
_atom_site_type_symbol
_atom_site_fract_x
_atom_site_fract_y
_atom_site_fract_z
_atom_site_occupancy
Zn1 Zn 0.500 0.000 0.250 1
Zn2 Zn 0.500 0.500 0.500 1
Zn3 Zn 0.500 0.000 0.750 1
Ba1 Ba 0.000 0.000 0.500 1
Ba2 Ba 0.000 0.500 0.744 1
Ba3 Ba 0.000 0.000 0.000 1
Ba4 Ba 0.000 0.500 0.256 1
Cd1 Cd 0.500 0.500 0.000 1
# Calculated volume ... 35.78 Å³/atom
# Spin magnetization ... 0.00 μB/f.u.

=====

Version Q
# Ba4Zn3Cd | Alexandria via LeMat-Bulk | PBE | optimized geometry
data_Ba4Zn3Cd
_symmetry_space_group_name_H-M 'P 1'
_symmetry_Int_Tables_number 1
_cell_length_a 5.274
_cell_length_b 4.754
_cell_length_c 11.889
_cell_angle_alpha 90.00
_cell_angle_beta 90.00
_cell_angle_gamma 90.00
loop_
_symmetry_equiv_pos_as_xyz
'x,y,z'
loop_
_atom_site_label
_atom_site_type_symbol
_atom_site_fract_x
_atom_site_fract_y
_atom_site_fract_z
_atom_site_occupancy
Ba1 Ba 0.500 0.500 0.361 1
Ba2 Ba 0.000 0.500 0.847 1
Ba3 Ba 0.000 0.000 0.149 1
Ba4 Ba 0.500 0.000 0.645 1
Zn1 Zn 0.000 0.500 0.548 1
Zn2 Zn 0.000 0.000 0.454 1
Zn3 Zn 0.500 0.000 0.939 1
Cd1 Cd 0.500 0.500 0.056 1
# Calculated volume ... 37.26 Å³/atom
# Spin magnetization ... 0.00 μB/f.u.

=====

version P has the most favorable energy; the next structure is 8 meV/atom above.

=====

Version P
# BaZrCd2 | Alexandria via LeMat-Bulk | PBE | optimized geometry
data_BaZrCd2
_symmetry_space_group_name_H-M 'P 1'
_symmetry_Int_Tables_number 1
_cell_length_a 6.599
_cell_length_b 6.599
_cell_length_c 5.733
_cell_angle_alpha 64.39
_cell_angle_beta 64.39
_cell_angle_gamma 30.18
loop_
_symmetry_equiv_pos_as_xyz
'x,y,z'
loop_
_atom_site_label
_atom_site_type_symbol
_atom_site_fract_x
_atom_site_fract_y
_atom_site_fract_z
_atom_site_occupancy
Ba1 Ba 0.743 0.743 0.757 1
Cd1 Cd 0.973 0.973 0.027 1
Cd2 Cd 0.256 0.256 0.244 1
Zr1 Zr 0.528 0.528 0.472 1
# Calculated volume ... 28.06 Å³/atom
# Spin magnetization ... 0.64 μB/f.u.

=====

Version Q
# BaZrCd2 | Alexandria via LeMat-Bulk | PBE | optimized geometry
data_BaZrCd2
_symmetry_space_group_name_H-M 'P 1'
_symmetry_Int_Tables_number 1
_cell_length_a 3.681
_cell_length_b 3.645
_cell_length_c 9.167
_cell_angle_alpha 66.60
_cell_angle_beta 90.00
_cell_angle_gamma 90.00
loop_
_symmetry_equiv_pos_as_xyz
'x,y,z'
loop_
_atom_site_label
_atom_site_type_symbol
_atom_site_fract_x
_atom_site_fract_y
_atom_site_fract_z
_atom_site_occupancy
Ba1 Ba 0.500 0.750 0.750 1
Cd1 Cd 0.000 0.946 0.054 1
Cd2 Cd 0.000 0.554 0.446 1
Zr1 Zr 0.500 0.250 0.250 1
# Calculated volume ... 28.22 Å³/atom
# Spin magnetization ... 0.00 μB/f.u.

=====

version Q has the most favorable energy; the next structure is 236 meV/atom above.

=====

Version P
# BaZrCd2 | Alexandria via LeMat-Bulk | PBE | optimized geometry
data_BaZrCd2
_symmetry_space_group_name_H-M 'P 1'
_symmetry_Int_Tables_number 1
_cell_length_a 5.485
_cell_length_b 5.485
_cell_length_c 5.485
_cell_angle_alpha 60.00
_cell_angle_beta 60.00
_cell_angle_gamma 60.00
loop_
_symmetry_equiv_pos_as_xyz
'x,y,z'
loop_
_atom_site_label
_atom_site_type_symbol
_atom_site_fract_x
_atom_site_fract_y
_atom_site_fract_z
_atom_site_occupancy
Ba1 Ba 0.500 0.500 0.500 1
Zr1 Zr 0.000 0.000 0.000 1
Cd1 Cd 0.250 0.250 0.250 1
Cd2 Cd 0.750 0.750 0.750 1
# Calculated volume ... 29.18 Å³/atom
# Spin magnetization ... 1.23 μB/f.u.

=====

Version Q
# BaZrCd2 | Alexandria via LeMat-Bulk | PBE | optimized geometry
data_BaZrCd2
_symmetry_space_group_name_H-M 'P 1'
_symmetry_Int_Tables_number 1
_cell_length_a 5.421
_cell_length_b 5.421
_cell_length_c 5.421
_cell_angle_alpha 60.00
_cell_angle_beta 60.00
_cell_angle_gamma 60.00
loop_
_symmetry_equiv_pos_as_xyz
'x,y,z'
loop_
_atom_site_label
_atom_site_type_symbol
_atom_site_fract_x
_atom_site_fract_y
_atom_site_fract_z
_atom_site_occupancy
Ba1 Ba 0.500 0.500 0.500 1
Cd1 Cd 0.000 0.000 0.000 1
Cd2 Cd 0.250 0.250 0.250 1
Zr1 Zr 0.750 0.750 0.750 1
# Calculated volume ... 28.16 Å³/atom
# Spin magnetization ... 2.05 μB/f.u.

=====

version P has the most favorable energy; the next structure is 211 meV/atom above.